# BW2

A PBEsol-optimized structure of BW2 (SCAN, the Alexandria database).

- magnetic moment (μB per formula unit) = 0.0
- V (Å³/f.u.) = 36.48
- final energy (eV/cell) = -589.88
- energy of formation (kJ per mole of atoms) = -21.4

Lattice parameters (Å, degrees): 5.543 5.543 4.749 90.00 90.00 90.00
Space group I4/mcm (No. 140)
Inequivalent atoms, fractional coordinates:
1 B 0.000 0.000 0.250 [4 per cell]
2 W 0.170 0.330 0.000 [8 per cell]



# B2W

A PBEsol-optimized structure of B2W (SCAN, the Alexandria database).

- magnetic moment (μB per formula unit) = 0.0
- V (Å³/f.u.) = 28.34
- final energy (eV/cell) = -171.02
- energy of formation (kJ per mole of atoms) = -31.0

Lattice parameters (Å, degrees): 2.9121 2.9121 7.7180 90.00 90.00 120.00
Space group P6_3/mmc (No. 194)
Inequivalent atoms, fractional coordinates:
1 B 0.3333 0.6667 0.0410 [4 per cell]
2 W 0.3333 0.6667 0.7500 [2 per cell]



# Y3B7W

A PBEsol-optimized structure of Y3B7W (SCAN, the Alexandria database).

- magnetic moment (μB per formula unit) = 0.0
- V (Å³/f.u.) = 128.50
- final energy (eV/cell) = -848.73
- energy of formation (kJ per mole of atoms) = -61.0

Lattice parameters (Å, degrees): 3.434 15.872 9.429 90.00 90.00 90.00
Space group Cmcm (No. 63)
Inequivalent atoms, fractional coordinates:
1 Y 0.000 0.107 0.060 [8 per cell]
2 Y 0.000 0.244 0.750 [4 per cell]
3 B 0.000 0.272 0.033 [8 per cell]
4 B 0.000 0.365 0.147 [8 per cell]
5 B 0.000 0.455 0.750 [4 per cell]
6 B 0.000 0.480 0.092 [8 per cell]
7 W 0.000 0.053 0.750 [4 per cell]



# YBW3

A PBEsol-optimized structure of YBW3 (SCAN, the Alexandria database).

- magnetic moment (μB per formula unit) = 0.0
- V (Å³/f.u.) = 80.88
- final energy (eV/cell) = -241.89
- energy of formation (kJ per mole of atoms) = 47.1

Lattice parameters (Å, degrees): 4.325 4.325 4.325 90.00 90.00 90.00
Space group Pm-3m (No. 221)
Inequivalent atoms, fractional coordinates:
1 Y 0.000 0.000 0.000 [1 per cell]
2 B 0.500 0.500 0.500 [1 per cell]
3 W 0.000 0.500 0.500 [3 per cell]



# ZnB2W

A PBEsol-optimized structure of ZnB2W (SCAN, the Alexandria database).

- magnetic moment (μB per formula unit) = 0.0
- V (Å³/f.u.) = 43.44
- final energy (eV/cell) = -379.10
- energy of formation (kJ per mole of atoms) = 79.3

Lattice parameters (Å, degrees): 5.749 5.749 5.257 90.00 90.00 90.00
Space group I-42d (No. 122)
Inequivalent atoms, fractional coordinates:
1 Zn 0.000 0.000 0.000 [4 per cell]
2 B 0.233 0.750 0.125 [8 per cell]
3 W 0.000 0.000 0.500 [4 per cell]



# ZrB2W

A PBEsol-optimized structure of ZrB2W (SCAN, the Alexandria database).

- magnetic moment (μB per formula unit) = 0.0
- V (Å³/f.u.) = 47.68
- final energy (eV/cell) = -455.52
- energy of formation (kJ per mole of atoms) = 32.9

Lattice parameters (Å, degrees): 5.756 5.756 5.756 90.00 90.00 90.00
Space group Fm-3m (No. 225)
Inequivalent atoms, fractional coordinates:
1 Zr 0.000 0.000 0.000 [4 per cell]
2 B 0.250 0.250 0.250 [8 per cell]
3 W 0.000 0.000 0.500 [4 per cell]



Which of these has the lowest energy of formation? Y3B7W



What is the energy of formation in the fifth record? 79.3 kJ per mole of atoms



Copy entry 5 word for word.
# ZnB2W

A PBEsol-optimized structure of ZnB2W (SCAN, the Alexandria database).

- magnetic moment (μB per formula unit) = 0.0
- V (Å³/f.u.) = 43.44
- final energy (eV/cell) = -379.10
- energy of formation (kJ per mole of atoms) = 79.3

Lattice parameters (Å, degrees): 5.749 5.749 5.257 90.00 90.00 90.00
Space group I-42d (No. 122)
Inequivalent atoms, fractional coordinates:
1 Zn 0.000 0.000 0.000 [4 per cell]
2 B 0.233 0.750 0.125 [8 per cell]
3 W 0.000 0.000 0.500 [4 per cell]



Please write out number 5 again, unchanged.
# ZnB2W

A PBEsol-optimized structure of ZnB2W (SCAN, the Alexandria database).

- magnetic moment (μB per formula unit) = 0.0
- V (Å³/f.u.) = 43.44
- final energy (eV/cell) = -379.10
- energy of formation (kJ per mole of atoms) = 79.3

Lattice parameters (Å, degrees): 5.749 5.749 5.257 90.00 90.00 90.00
Space group I-42d (No. 122)
Inequivalent atoms, fractional coordinates:
1 Zn 0.000 0.000 0.000 [4 per cell]
2 B 0.233 0.750 0.125 [8 per cell]
3 W 0.000 0.000 0.500 [4 per cell]